# USiPb | Alexandria | PBE | optimized geometry
# **Total moment**: 0.0079 μB per atom
data_USiPb
_cell_length_a 4.855
_cell_length_b 14.163
_cell_length_c 3.825
_cell_angle_alpha 90.00
_cell_angle_beta 90.00
_cell_angle_gamma 90.00
_space_group_name_H-M_alt 'C m c m'
_space_group_IT_number 63
_space_group_name_Hall '-C 2c 2'
loop_
_atom_site_label
_atom_site_fract_x
_atom_site_fract_y
_atom_site_fract_z
U1 0.000 0.059 0.250
Si1 0.000 0.442 0.250
Pb1 0.000 0.262 0.750


# Pu2HgPd | Alexandria | PBE | optimized geometry
# **Energy of formation**: -0.2476 eV per atom
# **Relative energy among the computed polymorphs**: 0 meV per atom
# **Total moment**: 2.9447 μB per atom
data_Pu2HgPd
_cell_length_a 3.900
_cell_length_b 3.900
_cell_length_c 6.208
_cell_angle_alpha 90.00
_cell_angle_beta 90.00
_cell_angle_gamma 90.00
_space_group_name_H-M_alt 'P 4/m m m'
_space_group_IT_number 123
_space_group_name_Hall '-P 4 2'
loop_
_atom_site_label
_atom_site_fract_x
_atom_site_fract_y
_atom_site_fract_z
Pu1 0.000 0.000 0.235
Hg1 0.500 0.500 0.500
Pd1 0.500 0.500 0.000


# TbPmGa | Alexandria | PBE | optimized geometry
# **Energy of formation**: -0.3839 eV per atom
# **Relative energy among the computed polymorphs**: 0 meV per atom
# **Total moment**: 0.0000 μB per atom
data_TbPmGa
_cell_length_a 16.623
_cell_length_b 3.731
_cell_length_c 5.260
_cell_angle_alpha 90.00
_cell_angle_beta 90.04
_cell_angle_gamma 90.00
_space_group_name_H-M_alt 'C 1 2/m 1'
_space_group_IT_number 12
loop_
_space_group_symop_operation_xyz
'x,y,z'
'-x,-y,-z'
'-x,y,-z'
'x,-y,z'
'x+1/2,y+1/2,z'
'-x+1/2,-y+1/2,-z'
'-x+1/2,y+1/2,-z'
'x+1/2,-y+1/2,z'
loop_
_atom_site_label
_atom_site_fract_x
_atom_site_fract_y
_atom_site_fract_z
Tb1 0.222 0.000 0.250
Pm1 0.076 0.000 0.749
Ga1 0.079 0.500 0.249


no.,E_tot (eV/cell)
1,-81.52
2,-35.15
3,-54.24